A plane-wave DFT calculation with PBE-GGA was carried out for FeAs4Os after structural relaxation. Values from VASP.

crystal system = cubic
ΔE to the lowest computed polymorph = 1058 meV/atom
space group = F-43m, No. 216

Structure (Quantum ESPRESSO input):
```
&SYSTEM
  ibrav = 0, nat = 6, ntyp = 3
/
ATOMIC_SPECIES
As 74.92 As.upf
Fe 55.84 Fe.upf
Os 190.23 Os.upf
CELL_PARAMETERS angstrom
1.053 0.499 5.191
1.626 4.676 1.947
-3.237 2.858 3.108
ATOMIC_POSITIONS angstrom
As -1.828 4.442 5.396
As 0.605 5.351 4.815
As 0.317 3.262 6.438
As -0.209 3.012 3.842
Fe -0.418 6.025 7.684
Os 0.000 0.000 0.000
```

***

A plane-wave DFT calculation with PBE-GGA was carried out for FeAsOs2 after structural relaxation. Values from VASP.

crystal system = monoclinic
space group = P2/m, No. 10

Structure (Quantum ESPRESSO input):
```
&SYSTEM
  ibrav = 0, nat = 4, ntyp = 3
/
ATOMIC_SPECIES
Os 190.23 Os.upf
As 74.92 As.upf
Fe 55.84 Fe.upf
CELL_PARAMETERS angstrom
3.933 0.000 0.000
0.000 2.830 -0.004
0.000 1.639 5.092
ATOMIC_POSITIONS angstrom
Os 0.000 1.865 2.535
Os 0.000 0.369 0.008
As 1.966 1.117 1.272
Fe 1.966 3.352 3.816
```

***

A plane-wave DFT calculation with PBE-GGA was carried out for FeAsOs2 after structural relaxation. Values from VASP.

crystal system = orthorhombic
space group = Imm2, No. 44

Structure (Quantum ESPRESSO input):
```
&SYSTEM
  ibrav = 0, nat = 4, ntyp = 3
/
ATOMIC_SPECIES
Os 190.23 Os.upf
Fe 55.84 Fe.upf
As 74.92 As.upf
CELL_PARAMETERS angstrom
5.019 -0.003 -0.011
2.331 4.445 0.011
-3.177 -3.045 2.414
ATOMIC_POSITIONS angstrom
Os 1.584 1.913 1.212
Os 7.321 4.424 0.000
Fe 2.547 -0.541 1.201
As 3.745 2.263 0.000
```

***

A plane-wave DFT calculation with PBE-GGA was carried out for FeAsOs4 after structural relaxation. Values from VASP.

crystal system = cubic
space group = F-43m, No. 216

Structure (Quantum ESPRESSO input):
```
&SYSTEM
  ibrav = 0, nat = 6, ntyp = 3
/
ATOMIC_SPECIES
Fe 55.84 Fe.upf
Os 190.23 Os.upf
As 74.92 As.upf
CELL_PARAMETERS angstrom
0.000 3.656 3.656
3.656 0.000 3.656
3.656 3.656 0.000
ATOMIC_POSITIONS angstrom
Fe 0.000 0.000 0.000
Os 4.571 4.571 4.571
Os 2.742 4.571 2.742
Os 4.571 2.742 2.742
Os 2.742 2.742 4.571
As 1.828 1.828 1.828
```

***

A plane-wave DFT calculation with PBE-GGA was carried out for FeAsOs2 after structural relaxation. Values from VASP.

crystal system = orthorhombic
space group = Cmm2, No. 35

Structure (Quantum ESPRESSO input):
```
&SYSTEM
  ibrav = 0, nat = 4, ntyp = 3
/
ATOMIC_SPECIES
Os 190.23 Os.upf
As 74.92 As.upf
Fe 55.84 Fe.upf
CELL_PARAMETERS angstrom
-0.405 -1.602 -2.214
1.472 -0.983 2.121
-7.371 -3.172 3.644
ATOMIC_POSITIONS angstrom
Os -7.327 -3.153 3.622
Os -1.304 -2.083 0.862
As -3.742 -1.610 1.850
Fe -4.988 -3.668 2.683
```

***

A plane-wave DFT calculation with PBE-GGA was carried out for FeAs4Os after structural relaxation. Values from VASP.

crystal system = monoclinic
ΔE to the lowest computed polymorph = 0 meV/atom
space group = P2_1/c, No. 14

Structure (Quantum ESPRESSO input):
```
&SYSTEM
  ibrav = 0, nat = 12, ntyp = 3
/
ATOMIC_SPECIES
As 74.92 As.upf
Os 190.23 Os.upf
Fe 55.84 Fe.upf
CELL_PARAMETERS angstrom
-1.732 -1.522 -5.611
-3.834 -4.252 2.337
-3.801 4.154 1.322
ATOMIC_POSITIONS angstrom
As -5.024 2.064 1.419
As -4.343 -3.684 -3.372
As -5.040 2.246 -1.905
As -5.865 -1.411 2.006
As -3.502 -0.209 -3.958
As -3.537 -0.447 -0.604
As -4.328 -3.866 -0.048
As -5.830 -1.173 -1.349
Os -2.767 1.316 -2.145
Os -3.818 -0.049 1.829
Fe -2.783 -2.887 -1.637
Fe 0.000 0.000 0.000
```

***

A plane-wave DFT calculation with PBE-GGA was carried out for FeAsOs2 after structural relaxation. Values from VASP.

crystal system = orthorhombic
space group = Cmmm, No. 65

Structure (Quantum ESPRESSO input):
```
&SYSTEM
  ibrav = 0, nat = 4, ntyp = 3
/
ATOMIC_SPECIES
Os 190.23 Os.upf
Fe 55.84 Fe.upf
As 74.92 As.upf
CELL_PARAMETERS angstrom
2.718 -0.015 0.000
-1.297 2.388 0.000
0.000 0.000 9.192
ATOMIC_POSITIONS angstrom
Os 0.000 0.000 4.772
Os 0.000 0.000 9.016
Fe 0.710 1.186 6.894
As 0.710 1.186 2.298
```

***

A plane-wave DFT calculation with PBE-GGA was carried out for FeAsOs2 after structural relaxation. Values from VASP.

crystal system = tetragonal
space group = I-4m2, No. 119

Structure (Quantum ESPRESSO input):
```
&SYSTEM
  ibrav = 0, nat = 4, ntyp = 3
/
ATOMIC_SPECIES
Os 190.23 Os.upf
As 74.92 As.upf
Fe 55.84 Fe.upf
CELL_PARAMETERS angstrom
-3.011 0.856 3.455
-4.202 -1.699 -1.093
4.252 -1.910 -0.040
ATOMIC_POSITIONS angstrom
Os -1.778 -2.015 0.024
Os 0.000 0.000 0.000
As -3.606 -0.421 1.181
Fe -1.182 -0.738 2.298
```

***

| no. | DFT formation energy (eV/atom) | total DFT energy (no corrections) (eV per atom) |
| --- | --- | --- |
| 1 | 1.14 | -5.24 |
| 2 | 0.37 | -8.52 |
| 3 | 0.35 | -8.54 |
| 4 | 0.95 | -8.73 |
| 5 | 0.60 | -8.30 |
| 6 | 0.09 | -6.30 |
| 7 | 0.60 | -8.29 |
| 8 | 0.44 | -8.45 |